No. 1
# TbNd3Sc3Se8 PBE optimized geometry
data_TbNd3Sc3Se8
_chemical_formula_sum 'Tb1 Nd3 Sc3 Se8'
_cell_length_a 8.157
_cell_length_b 8.157
_cell_length_c 8.157
_cell_angle_alpha 58.86
_cell_angle_beta 58.86
_cell_angle_gamma 58.86
_symmetry_space_group_name_H-M 'P 1'
_symmetry_Int_Tables_number 1
_symmetry_space_group_name_Hall 'P 1'
loop_
_atom_site_label
_atom_site_type_symbol
_atom_site_fract_x
_atom_site_fract_y
_atom_site_fract_z
Tb1 Tb 0.000 0.000 0.000
Nd1 Nd 0.000 0.000 0.500
Nd2 Nd 0.000 0.500 0.000
Nd3 Nd 0.500 0.000 0.000
Sc1 Sc 0.000 0.500 0.500
Sc2 Sc 0.500 0.000 0.500
Sc3 Sc 0.500 0.500 0.000
Se1 Se 0.254 0.254 0.727
Se2 Se 0.254 0.727 0.254
Se3 Se 0.259 0.259 0.259
Se4 Se 0.273 0.746 0.746
Se5 Se 0.727 0.254 0.254
Se6 Se 0.741 0.741 0.741
Se7 Se 0.746 0.273 0.746
Se8 Se 0.746 0.746 0.273
# Calculated density = 6033 kg/m³
# Raw formation energy = -1.77 eV per atom
# Size of the total moment = 0.00 Bohr magnetons per cell
# D(E_F) = 7.224 states/eV/f.u.
# SG = R-3m, No. 166



No. 2
# Tb2NdScSe4 PBE optimized geometry
data_Tb2NdScSe4
_chemical_formula_sum 'Tb2 Nd1 Sc1 Se4'
_cell_length_a 7.034
_cell_length_b 4.037
_cell_length_c 7.174
_cell_angle_alpha 90.00
_cell_angle_beta 108.91
_cell_angle_gamma 90.00
_symmetry_space_group_name_H-M 'P 1'
_symmetry_Int_Tables_number 1
_symmetry_space_group_name_Hall 'P 1'
loop_
_atom_site_label
_atom_site_type_symbol
_atom_site_fract_x
_atom_site_fract_y
_atom_site_fract_z
Tb1 Tb 0.000 0.000 0.000
Tb2 Tb 0.000 0.500 0.500
Nd1 Nd 0.500 0.000 0.500
Sc1 Sc 0.500 0.500 0.000
Se1 Se 0.248 0.500 0.236
Se2 Se 0.257 0.000 0.765
Se3 Se 0.743 0.000 0.235
Se4 Se 0.752 0.500 0.764
# Calculated density = 7090 kg/m³
# Raw formation energy = -1.72 eV per atom
# Size of the total moment = 0.00 Bohr magnetons per cell
# D(E_F) = 4.778 states/eV/f.u.
# SG = P2/m, No. 10



What did the first record say?
# TbNd3Sc3Se8 PBE optimized geometry
data_TbNd3Sc3Se8
_chemical_formula_sum 'Tb1 Nd3 Sc3 Se8'
_cell_length_a 8.157
_cell_length_b 8.157
_cell_length_c 8.157
_cell_angle_alpha 58.86
_cell_angle_beta 58.86
_cell_angle_gamma 58.86
_symmetry_space_group_name_H-M 'P 1'
_symmetry_Int_Tables_number 1
_symmetry_space_group_name_Hall 'P 1'
loop_
_atom_site_label
_atom_site_type_symbol
_atom_site_fract_x
_atom_site_fract_y
_atom_site_fract_z
Tb1 Tb 0.000 0.000 0.000
Nd1 Nd 0.000 0.000 0.500
Nd2 Nd 0.000 0.500 0.000
Nd3 Nd 0.500 0.000 0.000
Sc1 Sc 0.000 0.500 0.500
Sc2 Sc 0.500 0.000 0.500
Sc3 Sc 0.500 0.500 0.000
Se1 Se 0.254 0.254 0.727
Se2 Se 0.254 0.727 0.254
Se3 Se 0.259 0.259 0.259
Se4 Se 0.273 0.746 0.746
Se5 Se 0.727 0.254 0.254
Se6 Se 0.741 0.741 0.741
Se7 Se 0.746 0.273 0.746
Se8 Se 0.746 0.746 0.273
# Calculated density = 6033 kg/m³
# Raw formation energy = -1.77 eV per atom
# Size of the total moment = 0.00 Bohr magnetons per cell
# D(E_F) = 7.224 states/eV/f.u.
# SG = R-3m, No. 166